1.
BaNaMgGa, relaxed, DFT PBE; D(E_F) = 3.499 states/eV/cell; formation enthalpy at 0 K = -0.123 eV/atom; space-group type = No. 216; V = 116 Å³ per cell
1.0
0.0000 3.8708 3.8708
3.8708 0.0000 3.8708
3.8708 3.8708 0.0000
Ba Na Mg Ga
1 1 1 1
Cartesian
0.0000 0.0000 0.0000 Ba
1.9354 1.9354 1.9354 Na
3.8708 3.8708 3.8708 Mg
5.8062 5.8062 5.8062 Ga

2.
Ba2NaMgGa, relaxed, DFT PBE; D(E_F) = 3.185 states/eV/cell; formation enthalpy at 0 K = -0.056 eV/atom; space-group type = No. 123; V = 226 Å³ per cell
1.0
6.6245 0.0000 0.0000
0.0000 6.6245 0.0000
0.0000 0.0000 5.1562
Ba Na Mg Ga
2 1 1 1
Cartesian
0.0000 3.3123 0.0000 Ba
3.3123 0.0000 0.0000 Ba
0.0000 0.0000 2.5781 Na
3.3123 3.3123 2.5781 Mg
3.3123 3.3123 0.0000 Ga

3.
BaNdMgGa, relaxed, DFT PBE; D(E_F) = 3.960 states/eV/cell; formation enthalpy at 0 K = -0.145 eV/atom; space-group type = No. 216; V = 126 Å³ per cell
1.0
0.0000 3.9739 3.9739
3.9739 0.0000 3.9739
3.9739 3.9739 0.0000
Ba Nd Mg Ga
1 1 1 1
Cartesian
0.0000 0.0000 0.0000 Ba
3.9739 3.9739 3.9739 Nd
1.9869 1.9869 1.9869 Mg
5.9608 5.9608 5.9608 Ga